Entry from Alexandria via LeMat-Bulk: a relaxed LiW2F crystal (GGA+U).

```
LiW2F
1.0
6.0571 0.0000 0.0000
0.0000 6.0571 0.0000
0.0000 0.0000 6.0571
Li W F
4 8 4
direct
0.0000 0.0000 0.0000
0.0000 0.5000 0.5000
0.5000 0.0000 0.5000
0.5000 0.5000 0.0000
0.2500 0.2500 0.2500
0.2500 0.2500 0.7500
0.2500 0.7500 0.2500
0.2500 0.7500 0.7500
0.7500 0.2500 0.2500
0.7500 0.2500 0.7500
0.7500 0.7500 0.2500
0.7500 0.7500 0.7500
0.0000 0.0000 0.5000
0.0000 0.5000 0.0000
0.5000 0.0000 0.0000
0.5000 0.5000 0.5000
```

Computed properties:
As for the space group: No. 225. The spin magnetization comes out at 1.17 μB/f.u. Its energy is -3.283 eV per atom. The energy above the most stable polymorph in this dataset is 0.4808 eV per atom. The calculation puts the density of states at the Fermi level at 0.867 states/eV per atom.